First-principles (PBE-GGA) data for a relaxed structure of Fe2ReIr, as listed in the Alexandria database.

As for the total magnetization: 5.28 μB/cell. Its formation energy is 0.089 eV per atom. The calculated total energy is -9.469 eV per atom.

The space group is P4/mmm (No. 123) and the conventional cell measures 2.955, 2.955 and 6.071 Å, with angles of 90.00, 90.00 and 90.00 degrees. The inequivalent atoms are Fe at (0.000, 0.000, 0.245), Re at (0.500, 0.500, 0.000) and Ir at (0.500, 0.500, 0.500).